No. 1
Sm4Dy10Tm | PBE | relaxed

Computed properties:
As for the space group: I4/mmm (139). The formation energy is 263 meV/atom. The value obtained for the density of states at the Fermi level is 21.9 states/eV/cell.

Geometry as extended XYZ:
```
15
Lattice="-2.490 -3.802 6.435 4.666 -7.181 2.386 3.470 2.665 7.739" Properties=species:S:1:pos:R:3 pbc="T T T"
Dy 2.994 -0.502 8.498
Dy 0.457 -2.842 5.330
Dy 4.151 -7.060 13.912
Dy 5.189 -5.476 11.231
Dy 2.200 -5.110 9.889
Dy 1.956 -2.086 11.179
Dy 1.494 -1.258 2.648
Dy 3.445 -3.209 6.671
Dy 2.652 -7.816 8.063
Dy 3.689 -6.233 5.382
Sm 5.422 -2.095 10.506
Sm 1.308 0.568 5.664
Sm 0.223 -6.223 6.055
Sm 4.337 -8.887 10.896
Tm 0.000 0.000 0.000
```

---

No. 2
SrPuHgGe | PBE | relaxed

Computed properties:
As for the space group: F-43m (216). The formation energy is -326 meV/atom. The value obtained for the density of states at the Fermi level is 11.8 states/eV/cell.

Geometry as extended XYZ:
```
4
Lattice="5.389 0.000 0.000 2.694 4.667 0.000 2.694 1.556 4.400" Properties=species:S:1:pos:R:3 pbc="T T T"
Pu 0.000 0.000 0.000
Ge 2.694 1.556 1.100
Hg 8.083 4.667 3.300
Sr 5.389 3.111 2.200
```

---

No. 3
BiTePd2 | PBE | relaxed

Computed properties:
As for the formation energy from raw total energies: -0.207 eV/atom. As for the space group: R-3m (166). For the relative energy among the computed polymorphs, the calculation gives 3.36 kcal/mol of atoms. The value obtained for the density of states at the Fermi level is 2.3 states/eV/cell.

Geometry as extended XYZ:
```
4
Lattice="4.090 0.000 0.000 2.045 3.542 0.000 2.045 1.181 6.265" Properties=species:S:1:pos:R:3 pbc="T T T"
Te 0.000 0.000 0.000
Pd 2.045 1.181 1.422
Pd 6.135 3.542 4.843
Bi 4.090 2.361 3.132
```